Entry 1:
DFT (PBE-GGA) results for a geometry-optimized LiHSe2N structure.

Calculated values
calculated volume = 72.83 Å³/cell
space-group type = No. 123

a b c (Å): 4.6327 4.6327 3.3936
angles (deg): 90.00 90.00 90.00
With the nearest neighbours (Å) after each atom.
Positions (direct):
Li 0.0000 0.0000 0.0000  2 N 1.70
H 0.5000 0.5000 0.5000  8 Se 2.87
Se 0.0000 0.5000 0.0000  2 Li 2.32
Se 0.5000 0.0000 0.0000  2 Li 2.32
N 0.0000 0.0000 0.5000  2 Li 1.70

=====

Entry 2:
DFT (PBE-GGA) results for a geometry-optimized LiHSe2N structure.

Calculated values
calculated volume = 65.13 Å³/cell
space-group type = No. 123

a b c (Å): 4.1625 4.1625 3.7592
angles (deg): 90.00 90.00 90.00
With the nearest neighbours (Å) after each atom.
Positions (direct):
Li 0.0000 0.0000 0.0000  2 H 1.88
H 0.0000 0.0000 0.5000  2 Li 1.88, 4 Se 2.08
Se 0.0000 0.5000 0.5000  2 H 2.08
Se 0.5000 0.0000 0.5000  2 H 2.08
N 0.5000 0.5000 0.0000  8 Se 2.80, 4 Li 2.94

=====

Entry 3:
DFT (PBE-GGA) results for a geometry-optimized LiHSe2N structure.

Calculated values
calculated volume = 64.95 Å³/cell
space-group type = No. 123

a b c (Å): 4.9336 4.9336 2.6685
angles (deg): 90.00 90.00 90.00
With the nearest neighbours (Å) after each atom.
Positions (direct):
Li 0.0000 0.0000 0.0000  2 Li 2.67, 8 Se 2.80
H 0.5000 0.5000 0.5000  2 N 1.33
Se 0.0000 0.5000 0.5000  2 H 2.47, 2 Se 2.67
Se 0.5000 0.0000 0.5000  2 H 2.47, 2 Se 2.67
N 0.5000 0.5000 0.0000  2 H 1.33

=====

Entry 4:
DFT (PBE-GGA) results for a geometry-optimized Li2TaHN structure.

Calculated values
calculated volume = 54.51 Å³/cell
space-group type = No. 123

a b c (Å): 3.0890 3.0890 5.7130
angles (deg): 90.00 90.00 90.00
With the nearest neighbours (Å) after each atom.
Positions (direct):
Li 0.0000 0.5000 0.0000  2 H 1.54
Li 0.5000 0.0000 0.0000  2 H 1.54
Ta 0.0000 0.0000 0.5000  4 N 2.18
H 0.5000 0.5000 0.0000  4 Li 1.54
N 0.5000 0.5000 0.5000  4 Ta 2.18

=====

Entry 5:
DFT (PBE-GGA) results for a geometry-optimized Li4ZnH12N6 structure.

Calculated values
calculated volume = 397.85 Å³/cell
space-group type = No. 20

a b c (Å): 8.2257 8.2257 10.1304
angles (deg): 90.00 90.00 144.52
With the nearest neighbours (Å) after each atom.
Positions (direct):
Li 0.0014 0.9986 0.7500  4 N 2.08-2.12
Li 0.0050 0.0050 0.5000  4 N 2.13-2.18, 4 H 2.20-2.24
Li 0.1580 0.8420 0.7500  4 N 2.07-2.13, 2 H 2.26
Li 0.3429 0.6571 0.2500  4 N 2.12-2.14, 2 H 2.25
Li 0.6571 0.3429 0.7500  4 N 2.12-2.14, 2 H 2.25
Li 0.8420 0.1580 0.2500  4 N 2.07-2.13, 2 H 2.26
Li 0.9950 0.9950 0.0000  4 N 2.13-2.18, 4 H 2.20-2.24
Li 0.9986 0.0014 0.2500  4 N 2.08-2.12
Zn 0.1708 0.8292 0.2500  4 N 2.06
Zn 0.8292 0.1708 0.7500  4 N 2.06
H 0.0825 0.5631 0.0556  1 N 1.03
H 0.0903 0.3297 0.9623  1 N 1.03
H 0.1135 0.3510 0.4491  1 N 1.03
H 0.2013 0.6405 0.6382  1 N 1.03
H 0.3121 0.4728 0.8477  1 N 1.03
H 0.3297 0.0903 0.0377  1 N 1.03
H 0.3510 0.1135 0.5509  1 N 1.03
H 0.3595 0.7987 0.8618  1 N 1.03
H 0.3631 0.4540 0.3814  1 N 1.03
H 0.4369 0.9175 0.4444  1 N 1.03
H 0.4540 0.3631 0.6186  1 N 1.03
H 0.4728 0.3121 0.1523  1 N 1.03
H 0.5272 0.6879 0.6523  1 N 1.03
H 0.5460 0.6369 0.1186  1 N 1.03
H 0.5631 0.0825 0.9444  1 N 1.03
H 0.6369 0.5460 0.8814  1 N 1.03
H 0.6405 0.2013 0.3618  1 N 1.03
H 0.6490 0.8865 0.0509  1 N 1.03
H 0.6703 0.9097 0.5377  1 N 1.03
H 0.6879 0.5272 0.3477  1 N 1.03
H 0.7987 0.3595 0.1382  1 N 1.03
H 0.8865 0.6490 0.9491  1 N 1.03
H 0.9097 0.6703 0.4623  1 N 1.03
H 0.9175 0.4369 0.5556  1 N 1.03
N 0.0060 0.4982 0.1502  2 H 1.03
N 0.1087 0.2838 0.8742  2 H 1.03
N 0.1569 0.3174 0.3668  2 H 1.03
N 0.2838 0.1087 0.1258  2 H 1.03
N 0.3174 0.1569 0.6332  2 H 1.03
N 0.4982 0.0060 0.8498  2 H 1.03
N 0.5018 0.9940 0.3498  2 H 1.03
N 0.6826 0.8431 0.1332  2 H 1.03
N 0.7162 0.8913 0.6258  2 H 1.03
N 0.8431 0.6826 0.8668  2 H 1.03
N 0.8913 0.7162 0.3742  2 H 1.03
N 0.9940 0.5018 0.6502  2 H 1.03

=====

Entry 6:
DFT (PBE-GGA) results for a geometry-optimized Li5ZnHN2 structure.

Calculated values
calculated volume = 117.25 Å³/cell
space-group type = No. 123

a b c (Å): 3.9322 3.9322 7.5828
angles (deg): 90.00 90.00 90.00
With the nearest neighbours (Å) after each atom.
Positions (direct):
Li 0.0000 0.0000 0.0000  2 N 1.95
Li 0.0000 0.5000 0.2264  2 N 1.98
Li 0.0000 0.5000 0.7736  2 N 1.98
Li 0.5000 0.0000 0.2264  2 N 1.98
Li 0.5000 0.0000 0.7736  2 N 1.98
Zn 0.0000 0.0000 0.5000  2 N 1.84
H 0.5000 0.5000 0.0000  12 Li 2.61-2.78
N 0.0000 0.0000 0.2574  1 Zn 1.84, 5 Li 1.95-1.98
N 0.0000 0.0000 0.7426  1 Zn 1.84, 5 Li 1.95-1.98

=====

Entry 7:
DFT (PBE-GGA) results for a geometry-optimized Li2ZrHN structure.

Calculated values
calculated volume = 102.91 Å³/cell
space-group type = No. 123

a b c (Å): 5.3246 5.3246 3.6300
angles (deg): 90.00 90.00 90.00
With the nearest neighbours (Å) after each atom.
Positions (direct):
Li 0.0000 0.5000 0.0000  2 Zr 2.66
Li 0.5000 0.0000 0.0000  2 Zr 2.66
Zr 0.0000 0.0000 0.0000  2 H 1.81
H 0.0000 0.0000 0.5000  2 Zr 1.81
N 0.5000 0.5000 0.5000  8 Li 3.22

=====

Entry 8:
DFT (PBE-GGA) results for a geometry-optimized NaLi2H2 structure.

Calculated values
calculated volume = 163.01 Å³/cell
space-group type = No. 127

a b c (Å): 7.1862 7.1862 3.1566
angles (deg): 90.00 90.00 90.00
With the nearest neighbours (Å) after each atom.
Positions (direct):
Na 0.0000 0.0000 0.0000  4 H 2.54
Na 0.5000 0.5000 0.0000  4 H 2.54
Li 0.1543 0.3457 0.5000  2 H 1.79
Li 0.3457 0.8457 0.5000  2 H 1.79
Li 0.6543 0.1543 0.5000  2 H 1.79
Li 0.8457 0.6543 0.5000  2 H 1.79
H 0.2373 0.2627 0.0000  2 Li 1.79
H 0.2627 0.7627 0.0000  2 Li 1.79
H 0.7373 0.2373 0.0000  2 Li 1.79
H 0.7627 0.7373 0.0000  2 Li 1.79

=====

Entry 9:
DFT (PBE-GGA) results for a geometry-optimized NaLi3H structure.

Calculated values
calculated volume = 87.04 Å³/cell
space-group type = No. 221

a b c (Å): 4.4317 4.4317 4.4317
angles (deg): 90.00 90.00 90.00
With the nearest neighbours (Å) after each atom.
Positions (direct):
Na 0.0000 0.0000 0.0000  12 Li 3.13
Li 0.0000 0.5000 0.5000  2 H 2.22
Li 0.5000 0.0000 0.5000  2 H 2.22
Li 0.5000 0.5000 0.0000  2 H 2.22
H 0.5000 0.5000 0.5000  6 Li 2.22

=====

Entry 10:
DFT (PBE-GGA) results for a geometry-optimized NaLi2H2 structure.

Calculated values
calculated volume = 76.94 Å³/cell
space-group type = No. 139

a b c (Å): 6.1691 6.1691 6.1691
angles (deg): 144.98 144.98 50.37
With the nearest neighbours (Å) after each atom.
Positions (direct):
Na 0.0000 0.0000 0.0000  2 H 2.43
Li 0.2500 0.7500 0.5000  4 H 1.89
Li 0.7500 0.2500 0.5000  4 H 1.89
H 0.2178 0.2178 0.0000  4 Li 1.89
H 0.7822 0.7822 0.0000  4 Li 1.89

=====

Entry 11:
DFT (PBE-GGA) results for a geometry-optimized NaLi2H2 structure.

Calculated values
calculated volume = 69.32 Å³/cell
space-group type = No. 139

a b c (Å): 5.7430 5.7430 5.7430
angles (deg): 142.63 142.63 53.88
With the nearest neighbours (Å) after each atom.
Positions (direct):
Na 0.0000 0.0000 0.0000  2 Li 2.99, 8 H 3.15
Li 0.2924 0.2924 0.0000  4 H 1.89
Li 0.7076 0.7076 0.0000  4 H 1.89
H 0.2500 0.7500 0.5000  4 Li 1.89
H 0.7500 0.2500 0.5000  4 Li 1.89

=====

Entry 12:
DFT (PBE-GGA) results for a geometry-optimized Na2LiH2 structure.

Calculated values
calculated volume = 91.62 Å³/cell
space-group type = No. 139

a b c (Å): 5.9543 5.9543 5.9543
angles (deg): 138.53 138.53 60.09
With the nearest neighbours (Å) after each atom.
Positions (direct):
Na 0.1796 0.1796 0.0000  4 H 2.23
Na 0.8204 0.8204 0.0000  4 H 2.23
Li 0.5000 0.5000 0.0000  10 Na 3.30-3.51, 8 H 3.33
H 0.2500 0.7500 0.5000  4 Na 2.23
H 0.7500 0.2500 0.5000  4 Na 2.23

=====

Q: Which E values were calculated for the entries above? A: -13.47; -15.51; -17.77; -27.52; -219.93; -33.90; -16.43; -23.24; -10.42; -12.92; -12.85; -10.84, in eV per cell.
Q: Which DOS at the Fermi energy values were calculated for the entries above? A: 0.62; 0.64; 0.46; 0.38; 0.00; 0.00; 0.42; 0.25; 0.44; 0.21; 0.16; 0.26, in states/eV/atom.